No. 1
VASP calculation (GGA-PBE) on a relaxed NaPm2CdSe4 crystal.

abc: 7.2756 4.2210 7.5800
angles: 90.00 108.70 90.00
Last column: nearest neighbours and their distance in Å.
Atoms (fractional coordinates):
Na 0.0000 0.0000 0.0000  6 Se 3.10
Pm 0.0000 0.5000 0.5000  6 Se 2.97-2.98
Pm 0.5000 0.0000 0.5000  6 Se 2.94-2.95
Cd 0.5000 0.5000 0.0000  6 Se 3.06-3.08
Se 0.2471 0.0000 0.7347  3 Pm 2.94-2.97, 2 Cd 3.08, 1 Na 3.10
Se 0.2582 0.5000 0.2643  3 Pm 2.95-2.98, 1 Cd 3.06, 2 Na 3.10
Se 0.7418 0.5000 0.7357  3 Pm 2.95-2.98, 1 Cd 3.06, 2 Na 3.10
Se 0.7529 0.0000 0.2653  3 Pm 2.94-2.97, 2 Cd 3.08, 1 Na 3.10

## Properties
D(E_F): 4.30 states/eV/f.u.
Total energy: -4.61 eV/atom
Formation energy without anion corrections: -1401.7 meV/atom
SG: P2/m
Density: 5.582 g/cm³

=====

No. 2
VASP calculation (GGA-PBE) on a relaxed NaPmSmCd crystal.

abc: 7.7835 7.7835 7.7835
angles: 90.00 90.00 90.00
Last column: nearest neighbours and their distance in Å.
Atoms (fractional coordinates):
Na 0.0000 0.0000 0.0000  4 Pm 3.37, 4 Sm 3.37
Na 0.0000 0.5000 0.5000  4 Pm 3.37, 4 Sm 3.37
Na 0.5000 0.0000 0.5000  4 Pm 3.37, 4 Sm 3.37
Na 0.5000 0.5000 0.0000  4 Pm 3.37, 4 Sm 3.37
Pm 0.2500 0.2500 0.7500  4 Cd 3.37, 4 Na 3.37
Pm 0.2500 0.7500 0.2500  4 Cd 3.37, 4 Na 3.37
Pm 0.7500 0.2500 0.2500  4 Cd 3.37, 4 Na 3.37
Pm 0.7500 0.7500 0.7500  4 Cd 3.37, 4 Na 3.37
Sm 0.2500 0.2500 0.2500  4 Cd 3.37, 4 Na 3.37
Sm 0.2500 0.7500 0.7500  4 Cd 3.37, 4 Na 3.37
Sm 0.7500 0.2500 0.7500  4 Cd 3.37, 4 Na 3.37
Sm 0.7500 0.7500 0.2500  4 Cd 3.37, 4 Na 3.37
Cd 0.0000 0.0000 0.5000  4 Pm 3.37, 4 Sm 3.37
Cd 0.0000 0.5000 0.0000  4 Pm 3.37, 4 Sm 3.37
Cd 0.5000 0.0000 0.0000  4 Pm 3.37, 4 Sm 3.37
Cd 0.5000 0.5000 0.5000  4 Pm 3.37, 4 Sm 3.37

## Properties
Formation energy: 0.013 eV per atom
D(E_F): 5.38 states/eV/f.u.
Total energy: -2.91 eV/atom
SG: F-43m
Density: 6.068 g/cm³

=====

No. 3
VASP calculation (GGA-PBE) on a relaxed NaSrPmCd crystal.

abc: 8.0745 8.0745 8.0745
angles: 90.00 90.00 90.00
Last column: nearest neighbours and their distance in Å.
Atoms (fractional coordinates):
Na 0.0000 0.0000 0.0000  4 Sr 3.50, 4 Pm 3.50
Na 0.0000 0.5000 0.5000  4 Sr 3.50, 4 Pm 3.50
Na 0.5000 0.0000 0.5000  4 Sr 3.50, 4 Pm 3.50
Na 0.5000 0.5000 0.0000  4 Sr 3.50, 4 Pm 3.50
Sr 0.2500 0.2500 0.7500  4 Cd 3.50, 4 Na 3.50
Sr 0.2500 0.7500 0.2500  4 Cd 3.50, 4 Na 3.50
Sr 0.7500 0.2500 0.2500  4 Cd 3.50, 4 Na 3.50
Sr 0.7500 0.7500 0.7500  4 Na 3.50, 4 Cd 3.50
Pm 0.2500 0.2500 0.2500  4 Cd 3.50, 4 Na 3.50
Pm 0.2500 0.7500 0.7500  4 Cd 3.50, 4 Na 3.50
Pm 0.7500 0.2500 0.7500  4 Cd 3.50, 4 Na 3.50
Pm 0.7500 0.7500 0.2500  4 Cd 3.50, 4 Na 3.50
Cd 0.0000 0.0000 0.5000  4 Pm 3.50, 4 Sr 3.50
Cd 0.0000 0.5000 0.0000  4 Pm 3.50, 4 Sr 3.50
Cd 0.5000 0.0000 0.0000  4 Pm 3.50, 4 Sr 3.50
Cd 0.5000 0.5000 0.5000  4 Pm 3.50, 4 Sr 3.50

## Properties
Formation energy: -0.016 eV per atom
D(E_F): 2.81 states/eV/f.u.
Total energy: -2.18 eV/atom
SG: F-43m
Density: 4.643 g/cm³

=====

No. 4
VASP calculation (GGA-PBE) on a relaxed NaPmTlCd crystal.

abc: 7.5549 7.5549 7.5549
angles: 90.00 90.00 90.00
Last column: nearest neighbours and their distance in Å.
Atoms (fractional coordinates):
Na 0.0000 0.0000 0.0000  4 Cd 3.27, 4 Tl 3.27
Na 0.0000 0.5000 0.5000  4 Cd 3.27, 4 Tl 3.27
Na 0.5000 0.0000 0.5000  4 Cd 3.27, 4 Tl 3.27
Na 0.5000 0.5000 0.0000  4 Cd 3.27, 4 Tl 3.27
Pm 0.0000 0.0000 0.5000  4 Tl 3.27, 4 Cd 3.27
Pm 0.0000 0.5000 0.0000  4 Tl 3.27, 4 Cd 3.27
Pm 0.5000 0.0000 0.0000  4 Tl 3.27, 4 Cd 3.27
Pm 0.5000 0.5000 0.5000  4 Tl 3.27, 4 Cd 3.27
Tl 0.2500 0.2500 0.2500  4 Na 3.27, 4 Pm 3.27
Tl 0.2500 0.7500 0.7500  4 Na 3.27, 4 Pm 3.27
Tl 0.7500 0.2500 0.7500  4 Na 3.27, 4 Pm 3.27
Tl 0.7500 0.7500 0.2500  4 Na 3.27, 4 Pm 3.27
Cd 0.2500 0.2500 0.7500  4 Pm 3.27, 4 Na 3.27
Cd 0.2500 0.7500 0.2500  4 Pm 3.27, 4 Na 3.27
Cd 0.7500 0.2500 0.2500  4 Pm 3.27, 4 Na 3.27
Cd 0.7500 0.7500 0.7500  4 Pm 3.27, 4 Na 3.27

## Properties
Formation energy: -0.236 eV per atom
D(E_F): 2.30 states/eV/f.u.
Total energy: -2.57 eV/atom
SG: F-43m
Density: 7.467 g/cm³